Entry 1:
The following is a DFT calculation (PBE) of a geometry-optimized In2Au3 structure.

abc: 4.6951 4.6951 5.7670
angles: 90.00 90.00 120.00
Positions (direct):
Au (0.3333, 0.6667, 0.1935)
In (0.6667, 0.3333, 0.3206)
Au (0.0000, 0.0000, 0.0000)
Au (0.6667, 0.3333, 0.8065)
In (0.3333, 0.6667, 0.6794)

## Properties
- uncorrected energy (Ha/atom) = -0.1185
- excess energy over the best structure of this formula in the dataset (eV/atom) = 0.000
- energy relative to the elements (meV/atom) = -162
- density (g/cm³) = 12.376
- Fermi-level density of states (states/eV/cell) = 1.66

***

Entry 2:
The following is a DFT calculation (PBE) of a geometry-optimized Li2Tl2I structure.

abc: 4.2592 4.2592 8.8766
angles: 76.12 76.12 90.00
Positions (direct):
I (0.0000, 0.0000, 0.0000)
Li (0.6002, 0.6002, 0.7996)
Li (0.3998, 0.3998, 0.2004)
Tl (0.2500, 0.7500, 0.5000)
Tl (0.7500, 0.2500, 0.5000)

## Properties
- uncorrected energy (Ha/atom) = -0.0845
- excess energy over the best structure of this formula in the dataset (eV/atom) = 0.025
- density (g/cm³) = 6.024
- Fermi-level density of states (states/eV/cell) = 0.98
- raw formation energy (eV per formula unit) = -1.381

***

Entry 3:
The following is a DFT calculation (PBE) of a geometry-optimized CaGeBi3 structure.

abc: 5.7925 5.7925 5.7925
angles: 90.00 90.00 90.00
Positions (direct):
Ca (0.0000, 0.0000, 0.0000)
Bi (0.5000, 0.0000, 0.0000)
Ge (0.5000, 0.5000, 0.5000)
Bi (0.0000, 0.0000, 0.5000)
Bi (0.0000, 0.5000, 0.0000)

## Properties
- uncorrected energy (Ha/atom) = -0.1067
- excess energy over the best structure of this formula in the dataset (eV/atom) = 0.562
- energy relative to the elements (meV/atom) = 750
- density (g/cm³) = 6.320
- Fermi-level density of states (states/eV/cell) = 5.11

***

Entry 4:
The following is a DFT calculation (PBE) of a geometry-optimized Hg2SeBr structure.

abc: 5.2035 5.2035 5.2035
angles: 60.00 60.00 60.00
Positions (direct):
Se (0.0000, 0.0000, 0.0000)
Br (0.5000, 0.5000, 0.5000)
Hg (0.7500, 0.7500, 0.7500)
Hg (0.2500, 0.2500, 0.2500)

## Properties
- uncorrected energy (Ha/atom) = -0.0475
- excess energy over the best structure of this formula in the dataset (eV/atom) = 0.401
- density (g/cm³) = 9.334
- Fermi-level density of states (states/eV/cell) = 1.85
- raw formation energy (eV per formula unit) = 0.586

***

> What is the density in the third record?

6.320 g/cm³